Density functional theory data (PBE-GGA) for a geometry-optimized Be2ZnPb structure.

abc: 4.101 4.101 3.805
angles: 90.00 90.00 90.00
Positions (direct):
Be 0.000 0.500 0.000
Be 0.500 0.000 0.000
Zn 0.000 0.000 0.500
Pb 0.500 0.500 0.500

Energy of formation (eV/atom): 0.69
Magnetization (μB/cell): 0.00
VASP energy (eV for the cell shown): -9.7
Relative energy among the computed polymorphs (eV per atom): 0.408
Crystal system: tetragonal



Density functional theory data (PBE-GGA) for a geometry-optimized Be2ZnPb structure.

abc: 6.296 6.296 6.296
angles: 152.60 144.24 45.63
Positions (direct):
Be 0.000 0.000 0.000
Be 0.856 0.356 0.500
Zn 0.484 0.484 0.000
Pb 0.220 0.720 0.500

Energy of formation (eV/atom): 0.48
Magnetization (μB/cell): 0.00
VASP energy (eV for the cell shown): -10.5
Relative energy among the computed polymorphs (eV per atom): 0.199
Crystal system: orthorhombic



Density functional theory data (PBE-GGA) for a geometry-optimized BeZn3Pb structure.

abc: 5.372 5.372 5.372
angles: 90.00 90.00 90.00
Positions (direct):
Be 0.000 0.000 0.000
Zn 0.000 0.500 0.500
Zn 0.500 0.000 0.500
Zn 0.500 0.500 0.000
Pb 0.500 0.500 0.500

Energy of formation (eV/atom): 1.10
Magnetization (μB/cell): 0.00
VASP energy (eV for the cell shown): -5.7
Relative energy among the computed polymorphs (eV per atom): 0.811
Crystal system: cubic



Density functional theory data (PBE-GGA) for a geometry-optimized BeZn2Pb structure.

abc: 5.220 5.220 5.220
angles: 134.17 134.17 66.83
Positions (direct):
Be 0.000 0.000 0.000
Zn 0.250 0.750 0.500
Zn 0.750 0.250 0.500
Pb 0.500 0.500 0.000

Energy of formation (eV/atom): 0.48
Magnetization (μB/cell): 0.00
VASP energy (eV for the cell shown): -8.1
Relative energy among the computed polymorphs (eV per atom): 0.251
Crystal system: tetragonal



Density functional theory data (PBE-GGA) for a geometry-optimized Be2ZnPb structure.

abc: 3.169 3.169 6.579
angles: 90.00 90.00 90.00
Positions (direct):
Be 0.000 0.000 0.170
Be 0.000 0.000 0.830
Zn 0.500 0.500 0.000
Pb 0.500 0.500 0.500

Energy of formation (eV/atom): 0.58
Magnetization (μB/cell): 0.00
VASP energy (eV for the cell shown): -10.1
Relative energy among the computed polymorphs (eV per atom): 0.295
Crystal system: tetragonal



Density functional theory data (PBE-GGA) for a geometry-optimized Be2ZnPb structure.

abc: 4.579 4.579 4.579
angles: 126.28 104.58 99.01
Positions (direct):
Be 0.177 0.177 0.000
Be 0.823 0.823 0.000
Zn 0.000 0.500 0.500
Pb 0.500 0.000 0.500

Energy of formation (eV/atom): 0.56
Magnetization (μB/cell): 0.00
VASP energy (eV for the cell shown): -10.2
Relative energy among the computed polymorphs (eV per atom): 0.276
Crystal system: orthorhombic



Density functional theory data (PBE-GGA) for a geometry-optimized Be2ZnPb structure.

abc: 3.938 3.938 5.684
angles: 110.35 110.35 60.11
Positions (direct):
Be 0.178 0.178 0.036
Be 0.822 0.822 0.964
Zn 0.500 0.500 0.000
Pb 0.000 0.000 0.500

Energy of formation (eV/atom): 0.29
Magnetization (μB/cell): 0.00
VASP energy (eV for the cell shown): -11.3
Relative energy among the computed polymorphs (eV per atom): 0.000
Crystal system: monoclinic



Density functional theory data (PBE-GGA) for a geometry-optimized BeZnPb3 structure.

abc: 5.376 5.376 5.376
angles: 90.00 90.00 90.00
Positions (direct):
Be 0.000 0.000 0.000
Zn 0.500 0.500 0.500
Pb 0.000 0.500 0.500
Pb 0.500 0.000 0.500
Pb 0.500 0.500 0.000

Energy of formation (eV/atom): 0.84
Magnetization (μB/cell): 0.00
VASP energy (eV for the cell shown): -11.9
Relative energy among the computed polymorphs (eV per atom): 0.387
Crystal system: cubic



Density functional theory data (PBE-GGA) for a geometry-optimized BeZn2Pb structure.

abc: 3.078 3.078 7.594
angles: 90.00 90.00 90.00
Positions (direct):
Be 0.000 0.000 0.000
Zn 0.500 0.500 0.174
Zn 0.500 0.500 0.826
Pb 0.000 0.000 0.500

Energy of formation (eV/atom): 0.33
Magnetization (μB/cell): 0.00
VASP energy (eV for the cell shown): -8.7
Relative energy among the computed polymorphs (eV per atom): 0.104
Crystal system: tetragonal



Density functional theory data (PBE-GGA) for a geometry-optimized BeZn2Pb2 structure.

abc: 6.613 6.613 4.902
angles: 90.00 90.00 90.00
Positions (direct):
Be 0.000 0.000 0.000
Be 0.500 0.500 0.000
Zn 0.149 0.351 0.000
Zn 0.351 0.851 0.000
Zn 0.649 0.149 0.000
Zn 0.851 0.649 0.000
Pb 0.176 0.676 0.500
Pb 0.324 0.176 0.500
Pb 0.676 0.824 0.500
Pb 0.824 0.324 0.500

Energy of formation (eV/atom): 0.36
Magnetization (μB/cell): 0.00
VASP energy (eV for the cell shown): -23.8
Crystal system: tetragonal



Density functional theory data (PBE-GGA) for a geometry-optimized Be2ZnPb structure.

abc: 3.755 3.875 4.760
angles: 90.00 111.97 90.00
Positions (direct):
Be 0.000 0.000 0.000
Be 0.116 0.500 0.238
Zn 0.421 0.500 0.851
Pb 0.701 0.000 0.425

Energy of formation (eV/atom): 0.46
Magnetization (μB/cell): 0.00
VASP energy (eV for the cell shown): -10.6
Relative energy among the computed polymorphs (eV per atom): 0.170
Crystal system: monoclinic



Density functional theory data (PBE-GGA) for a geometry-optimized Be2ZnPb structure.

abc: 8.452 8.452 8.452
angles: 150.72 150.72 41.88
Positions (direct):
Be 0.000 0.000 0.000
Be 0.000 0.000 0.500
Be 0.000 0.500 0.000
Be 0.500 0.000 0.500
Zn 0.125 0.875 0.250
Zn 0.875 0.125 0.750
Pb 0.375 0.625 0.750
Pb 0.625 0.375 0.250

Energy of formation (eV/atom): 0.46
Magnetization (μB/cell): 0.00
VASP energy (eV for the cell shown): -21.2
Relative energy among the computed polymorphs (eV per atom): 0.176
Crystal system: tetragonal



Density functional theory data (PBE-GGA) for a geometry-optimized Be2ZnPb structure.

abc: 4.980 4.980 4.980
angles: 133.32 133.32 68.15
Positions (direct):
Be 0.000 0.000 0.000
Be 0.750 0.250 0.500
Zn 0.500 0.500 0.000
Pb 0.250 0.750 0.500

Energy of formation (eV/atom): 0.69
Magnetization (μB/cell): 0.00
VASP energy (eV for the cell shown): -9.7
Relative energy among the computed polymorphs (eV per atom): 0.407
Crystal system: tetragonal



Density functional theory data (PBE-GGA) for a geometry-optimized Be2ZnPb structure.

abc: 4.587 4.587 4.587
angles: 60.00 60.00 60.00
Positions (direct):
Be 0.000 0.000 0.000
Be 0.250 0.250 0.250
Zn 0.500 0.500 0.500
Pb 0.750 0.750 0.750

Energy of formation (eV/atom): 0.82
Magnetization (μB/cell): 0.00
VASP energy (eV for the cell shown): -9.1
Relative energy among the computed polymorphs (eV per atom): 0.536
Crystal system: cubic



Density functional theory data (PBE-GGA) for a geometry-optimized BeZn3Pb structure.

abc: 4.525 4.525 4.525
angles: 90.00 90.00 90.00
Positions (direct):
Be 0.000 0.000 0.000
Zn 0.000 0.000 0.500
Zn 0.000 0.500 0.000
Zn 0.500 0.000 0.000
Pb 0.500 0.500 0.500

Energy of formation (eV/atom): 0.29
Magnetization (μB/cell): 0.00
VASP energy (eV for the cell shown): -9.8
Relative energy among the computed polymorphs (eV per atom): 0.000
Crystal system: cubic